# Ca2CrPO | Alexandria | PBE with a Hubbard U | relaxed
data_Ca2CrPO
_chemical_formula_sum 'Ca2 Cr1 P1 O1'
_cell_length_a 4.8074
_cell_length_b 4.8074
_cell_length_c 4.2488
_cell_angle_alpha 90.00
_cell_angle_beta 90.00
_cell_angle_gamma 90.00
_symmetry_space_group_name_H-M 'P 4/m m m'
_symmetry_Int_Tables_number 123
_symmetry_space_group_name_Hall '-P 4 2'
loop_
_atom_site_label
_atom_site_type_symbol
_atom_site_fract_x
_atom_site_fract_y
_atom_site_fract_z
Ca1 Ca 0.0000 0.5000 0.0000
Cr1 Cr 0.0000 0.0000 0.5000
P1 P 0.5000 0.5000 0.5000
O1 O 0.5000 0.5000 0.0000
# **Size of the total moment**: 5.00 μB/cell
# **E_tot**: -25.5 eV per cell